1.
A relaxed structure of Si2AgTe6, computed with PBE.

abc: 6.940 8.964 8.964
angles: 90.70 82.99 82.99
Fractional positions:
Si 0.722 0.373 0.251
Te 0.465 0.727 0.509
Si 0.278 0.627 0.749
Te 0.849 0.165 0.057
Te 0.965 0.509 0.727
Te 0.535 0.273 0.491
Te 0.490 0.411 0.859
Te 0.349 0.057 0.165
Te 0.510 0.589 0.141
Si 0.222 0.251 0.373
Ag 0.750 0.849 0.151
Te 0.151 0.835 0.943
Te 0.035 0.491 0.273
Ag 0.250 0.151 0.849
Si 0.778 0.749 0.627
Te 0.651 0.943 0.835
Te 0.990 0.859 0.411
Te 0.010 0.141 0.589

* total moment: 0.00 μB/cell
* symmetry: C2/c
* crystal system: monoclinic
* raw formation energy: 0.55 eV per formula unit
* final energy: -3.555 eV per atom

=====

2.
A relaxed structure of SiAg8Te6, computed with PBE.

abc: 8.237 8.317 11.808
angles: 90.00 90.00 90.00
Fractional positions:
Te 0.751 0.746 0.597
Si 0.253 0.500 0.980
Ag 0.506 0.309 0.249
Ag 0.746 0.500 0.019
Te 0.207 0.000 0.753
Te 0.007 0.500 0.852
Ag 0.102 0.711 0.642
Te 0.249 0.246 0.097
Te 0.265 0.500 0.497
Te 0.793 0.500 0.253
Si 0.747 0.000 0.480
Te 0.249 0.754 0.097
Te 0.735 0.000 0.997
Ag 0.102 0.289 0.642
Te 0.501 0.500 0.857
Ag 0.506 0.691 0.249
Ag 0.402 0.000 0.956
Ag 0.598 0.500 0.456
Ag 0.134 0.318 0.323
Ag 0.134 0.682 0.323
Te 0.993 0.000 0.352
Ag 0.898 0.789 0.142
Ag 0.866 0.818 0.823
Ag 0.254 0.000 0.519
Ag 0.494 0.809 0.749
Ag 0.866 0.182 0.823
Te 0.499 0.000 0.357
Ag 0.898 0.211 0.142
Ag 0.494 0.191 0.749
Te 0.751 0.254 0.597

* total moment: 0.00 μB/cell
* symmetry: Pmn2_1
* crystal system: orthorhombic
* raw formation energy: -1.11 eV per formula unit
* final energy: -3.213 eV per atom

=====

3.
A relaxed structure of SiAgTe, computed with PBE.

abc: 6.139 6.139 7.631
angles: 90.00 90.00 120.00
Fractional positions:
Te 0.576 0.999 0.315
Te 0.001 0.578 0.981
Si 0.841 0.405 0.644
Ag 0.320 0.384 0.041
Si 0.595 0.436 0.311
Te 0.422 0.424 0.648
Si 0.564 0.159 0.978
Ag 0.064 0.680 0.374
Ag 0.616 0.936 0.708

* total moment: 0.00 μB/cell
* symmetry: P3_2
* E above lowest polymorph: 0 meV/atom
* crystal system: trigonal
* raw formation energy: 0.69 eV per formula unit
* final energy: -3.574 eV per atom

=====

4.
A relaxed structure of SiAg2Te, computed with PBE.

abc: 4.923 4.923 4.923
angles: 60.00 60.00 60.00
Fractional positions:
Te 0.500 0.500 0.500
Ag 0.250 0.250 0.250
Si 0.000 0.000 0.000
Ag 0.750 0.750 0.750

* total moment: 0.00 μB/cell
* symmetry: Fm-3m
* E above lowest polymorph: 236 meV/atom
* crystal system: cubic
* raw formation energy: 1.74 eV per formula unit
* final energy: -3.131 eV per atom

=====

5.
A relaxed structure of SiAgTe, computed with PBE.

abc: 6.744 6.744 6.744
angles: 154.72 143.88 44.60
Fractional positions:
Si 0.446 0.446 0.000
Te 0.653 0.653 0.000
Ag 0.902 0.902 0.000

* total moment: 0.00 μB/cell
* symmetry: Imm2
* E above lowest polymorph: 1 meV/atom
* crystal system: orthorhombic
* raw formation energy: 0.70 eV per formula unit
* final energy: -3.573 eV per atom

=====

6.
A relaxed structure of SiAgTe, computed with PBE.

abc: 3.126 3.126 7.994
angles: 90.00 90.00 120.00
Fractional positions:
Si 0.667 0.333 0.283
Te 0.333 0.667 0.693
Ag 0.000 0.000 0.024

* total moment: 0.00 μB/cell
* symmetry: P3m1
* E above lowest polymorph: 290 meV/atom
* crystal system: trigonal
* raw formation energy: 1.56 eV per formula unit
* final energy: -3.285 eV per atom